DFT (GGA+U) results for a relaxed structure of PaNbVO6.

abc: 5.351 5.351 9.247
angles: 90.00 90.00 120.00
Fractional positions:
1 Pa 0.333 0.667 0.250
2 Pa 0.667 0.333 0.750
3 Nb 0.000 0.000 0.000
4 Nb 0.000 0.000 0.500
5 V 0.333 0.667 0.750
6 V 0.667 0.333 0.250
7 O 0.009 0.319 0.624
8 O 0.009 0.690 0.876
9 O 0.310 0.319 0.876
10 O 0.310 0.991 0.624
11 O 0.319 0.009 0.124
12 O 0.319 0.310 0.376
13 O 0.681 0.690 0.624
14 O 0.681 0.991 0.876
15 O 0.690 0.009 0.376
16 O 0.690 0.681 0.124
17 O 0.991 0.310 0.124
18 O 0.991 0.681 0.376

Summary:
**DFT total energy**: -9.03 eV per atom